# 1
Sm3Dy2Ho6In after structural relaxation. Source: Alexandria via LeMat-Bulk, functional PBE.

```
12
Lattice="3.0515 -5.2875 0.0000 3.0515 5.2875 0.0000 -2.0431 0.0000 11.4536" Properties=species:S:1:pos:R:3 pbc="T T T"
Sm 0.0000 0.0000 0.0000
Sm 3.0515 1.7658 0.0000
Sm 3.0515 -1.7658 0.0000
Dy 2.0300 3.5300 5.7268
Dy 2.0300 -3.5300 5.7268
Ho 1.0351 1.7350 2.9268
Ho 0.0194 0.0000 8.5401
Ho 1.0351 -1.7350 2.9268
Ho 3.0249 1.7350 8.5268
Ho 4.0406 0.0000 2.9135
Ho 3.0249 -1.7350 8.5268
In 2.0300 0.0000 5.7268
```

Output
density = 8.45 g/cm³
calculated total energy = -4.51 eV per atom
formation energy from the elements = -0.04 eV per atom

=====

# 2
SnPdN3 after structural relaxation. Source: Alexandria via LeMat-Bulk, functional PBE.

```
5
Lattice="4.0045 0.0000 0.0000 0.0000 4.0045 0.0000 0.0000 0.0000 4.0045" Properties=species:S:1:pos:R:3 pbc="T T T"
Sn 0.0000 0.0000 0.0000
Pd 2.0023 2.0023 2.0023
N 0.0000 2.0023 2.0023
N 2.0023 0.0000 2.0023
N 2.0023 2.0023 0.0000
```

Output
density = 6.91 g/cm³
calculated total energy = -5.13 eV per atom
E_form (uncorrected) = 8.5 eV per formula unit

=====

# 3
Ga2PPd after structural relaxation. Source: Alexandria via LeMat-Bulk, functional PBE.

```
4
Lattice="0.0000 3.2105 3.2105 3.2105 0.0000 3.2105 3.2105 3.2105 0.0000" Properties=species:S:1:pos:R:3 pbc="T T T"
Ga 1.6052 1.6052 1.6052
Ga 4.8157 4.8157 4.8157
P 0.0000 0.0000 0.0000
Pd 3.2105 3.2105 3.2105
```

Output
density = 6.95 g/cm³
calculated total energy = -4.13 eV per atom
formation energy from the elements = 0.03 eV per atom

=====

# 4
Hf2NiHgH after structural relaxation. Source: Alexandria via LeMat-Bulk, functional PBE.

```
5
Lattice="4.4385 0.0000 0.0000 0.0000 4.4385 0.0000 0.0000 0.0000 3.8533" Properties=species:S:1:pos:R:3 pbc="T T T"
Hf 0.0000 2.2193 0.0000
Hf 2.2193 0.0000 0.0000
Ni 0.0000 0.0000 1.9267
Hg 2.2193 2.2193 1.9267
H 0.0000 0.0000 0.0000
```

Output
density = 13.50 g/cm³
calculated total energy = -6.04 eV per atom

=====

# 5
YI3 after structural relaxation. Source: Alexandria via LeMat-Bulk, functional PBE.

```
8
Lattice="3.8479 2.2216 7.6300 -3.8479 2.2216 7.6300 0.0000 -4.4432 7.6300" Properties=species:S:1:pos:R:3 pbc="T T T"
Y 0.0000 0.0000 3.8134
Y 0.0000 0.0000 19.0766
I -1.3763 -2.3814 9.6689
I -2.7505 0.0012 13.2211
I -1.3742 2.3826 9.6689
I 1.3742 -2.3826 13.2211
I 2.7505 -0.0012 9.6689
I 1.3763 2.3814 13.2211
```

Output
density = 3.99 g/cm³
calculated total energy = -4.20 eV per atom
E_form (uncorrected) = -5.7 eV per formula unit

=====

# 6
Na2Li2CrH6 after structural relaxation. Source: Alexandria via LeMat-Bulk, functional PBE.

```
11
Lattice="2.5656 -4.2264 0.0000 2.5656 4.2264 0.0000 -1.9253 0.0000 5.1776" Properties=species:S:1:pos:R:3 pbc="T T T"
Na 2.5656 2.7816 0.0000
Na 2.5656 -2.7816 0.0000
Li 1.6029 1.3918 2.5888
Li 1.6029 -1.3918 2.5888
Cr -0.9627 0.0000 2.5888
H -0.2823 1.2747 3.6048
H 0.5452 0.0000 1.6971
H -0.2823 -1.2747 3.6048
H 3.4881 1.2747 1.5727
H 2.6606 0.0000 3.4804
H 3.4881 -1.2747 1.5727
```

Output
density = 1.74 g/cm³
calculated total energy = -3.45 eV per atom

=====

# 7
K3Pu2ZnS6 after structural relaxation. Source: Alexandria via LeMat-Bulk, functional PBE.

```
12
Lattice="3.4643 -5.9989 0.0000 3.4643 5.9989 0.0000 -2.3034 0.0000 7.3201" Properties=species:S:1:pos:R:3 pbc="T T T"
K 0.0000 0.0000 0.0000
K 3.4643 1.9808 0.0000
K 3.4643 -1.9808 0.0000
Pu 2.3126 3.9975 3.6601
Pu 2.3126 -3.9975 3.6601
Zn 2.3126 0.0000 3.6601
S 1.1764 1.9660 2.2219
S 0.0431 0.0000 5.0935
S 1.1764 -1.9660 2.2219
S 3.4489 1.9660 5.0983
S 4.5822 0.0000 2.2266
S 3.4489 -1.9660 5.0983
```

Output
density = 4.71 g/cm³
calculated total energy = -6.13 eV per atom
E_form (uncorrected) = -15.6 eV per formula unit

=====

# 8
Te2WCl6 after structural relaxation. Source: Alexandria via LeMat-Bulk, functional PBE.

```
36
Lattice="6.8614 0.0000 0.0000 0.0000 13.5322 0.0000 -2.0823 0.0000 13.5511" Properties=species:S:1:pos:R:3 pbc="T T T"
Te 0.9768 1.6837 0.0377
Te -0.0644 5.0824 6.8132
Te 0.1494 7.4870 8.1189
Te 1.1905 12.8113 1.3434
Te 3.5885 0.7209 12.2077
Te 4.6297 6.0452 5.4322
Te 4.8434 8.4498 6.7379
Te 3.8022 11.8485 13.5134
W 2.5792 8.6507 2.1766
W 1.5381 11.6476 8.9522
W 3.2410 1.8846 4.5989
W 2.1998 4.8815 11.3744
Cl 0.5612 9.9231 2.4356
Cl -0.4800 10.3751 9.2111
Cl 1.3081 6.8649 1.5018
Cl 0.2670 13.4334 8.2773
Cl 1.2947 0.6702 4.7039
Cl 0.2535 6.0958 11.4795
Cl 1.0544 3.0180 10.5652
Cl 2.0955 3.7481 3.7896
Cl 2.7969 9.4179 0.0103
Cl 1.7558 10.8804 6.7859
Cl 2.2791 7.9363 4.4529
Cl 1.2380 12.3620 11.2284
Cl 3.5411 1.1702 2.3227
Cl 2.4999 5.5959 9.0982
Cl 3.0233 2.6518 6.7652
Cl 1.9821 4.1143 13.5408
Cl 2.6835 9.7841 9.7615
Cl 3.7246 10.5142 2.9859
Cl 4.5255 7.4363 2.0716
Cl 3.4844 12.8619 8.8472
Cl 4.5121 0.0988 5.2738
Cl 3.4709 6.6673 12.0493
Cl 5.2590 3.1570 4.3400
Cl 4.2178 3.6090 11.1155
```

Output
density = 3.44 g/cm³
calculated total energy = -4.02 eV per atom
E_form (uncorrected) = -5.9 eV per formula unit

=====

# 9
K2OsW after structural relaxation. Source: Alexandria via LeMat-Bulk, functional PBE.

```
4
Lattice="2.6982 0.0000 0.0000 0.0000 6.0121 0.0000 -0.8174 0.0000 5.1284" Properties=species:S:1:pos:R:3 pbc="T T T"
K 0.4180 0.0000 1.3069
K 1.4627 0.0000 3.8214
Os -0.4087 3.0060 2.5642
W 1.3491 3.0060 0.0000
```

Output
density = 9.03 g/cm³
calculated total energy = -5.18 eV per atom
formation energy from the elements = 1.41 eV per atom

=====

# 10
Pm5DyTm4 after structural relaxation. Source: Alexandria via LeMat-Bulk, functional PBE.

```
10
Lattice="3.5890 0.0000 0.0000 0.0000 3.5890 0.0000 0.0000 0.0000 25.0119" Properties=species:S:1:pos:R:3 pbc="T T T"
Pm 0.0000 0.0000 0.0000
Pm 0.0000 0.0000 4.9790
Pm 0.0000 0.0000 9.9686
Pm 0.0000 0.0000 15.0433
Pm 0.0000 0.0000 20.0329
Dy 1.7945 1.7945 12.5060
Tm 1.7945 1.7945 2.4883
Tm 1.7945 1.7945 7.4702
Tm 1.7945 1.7945 17.5417
Tm 1.7945 1.7945 22.5236
```

Output
density = 8.06 g/cm³
calculated total energy = -4.61 eV per atom
formation energy from the elements = 0.02 eV per atom

=====

# 11
Zn2Pd2Pt after structural relaxation. Source: Alexandria via LeMat-Bulk, functional PBE.

```
5
Lattice="1.4470 -9.0289 0.0000 1.4470 9.0289 0.0000 0.0000 0.0000 2.9030" Properties=species:S:1:pos:R:3 pbc="T T T"
Zn 1.4470 7.2982 0.0000
Zn 1.4470 -7.2982 0.0000
Pd 1.4470 3.3413 1.4515
Pd 1.4470 -3.3413 1.4515
Pt 1.4470 0.0000 1.4515
```

Output
density = 11.79 g/cm³
calculated total energy = -4.20 eV per atom
formation energy from the elements = -0.41 eV per atom

=====

# 12
HoThNiPd after structural relaxation. Source: Alexandria via LeMat-Bulk, functional PBE.

```
4
Lattice="0.0000 3.5172 3.5172 3.5172 0.0000 3.5172 3.5172 3.5172 0.0000" Properties=species:S:1:pos:R:3 pbc="T T T"
Ho 0.0000 0.0000 0.0000
Th 3.5172 3.5172 3.5172
Ni 5.2758 5.2758 5.2758
Pd 1.7586 1.7586 1.7586
```

Output
density = 10.73 g/cm³
calculated total energy = -6.28 eV per atom
formation energy from the elements = -0.54 eV per atom